(1)
Entry from the Alexandria database: a relaxed structure of UVTcMo (PBE-GGA). Values from VASP.

Values from the calculation:
Its crystal system is cubic.

Structure (Quantum ESPRESSO input):
```
&SYSTEM
  ibrav = 0, nat = 4, ntyp = 4
/
ATOMIC_SPECIES
Mo 95.94 Mo.upf
U 238.03 U.upf
Tc 98.00 Tc.upf
V 50.94 V.upf
CELL_PARAMETERS angstrom
-2.474 3.807 -0.024
-4.363 -0.120 1.249
-1.292 1.892 3.919
ATOMIC_POSITIONS angstrom
Mo -2.032 1.395 1.286
U -4.065 2.789 2.572
Tc -6.097 4.184 3.858
V 0.000 0.000 0.000
```

(2)
Entry from the Alexandria database: a relaxed structure of V4Tc2Mo5 (PBE-GGA). Values from VASP.

Values from the calculation:
Its crystal system is monoclinic.

Structure (Quantum ESPRESSO input):
```
&SYSTEM
  ibrav = 0, nat = 11, ntyp = 3
/
ATOMIC_SPECIES
V 50.94 V.upf
Tc 98.00 Tc.upf
Mo 95.94 Mo.upf
CELL_PARAMETERS angstrom
-1.142 -1.213 -1.898
3.019 -5.951 1.989
-7.184 -2.308 5.797
ATOMIC_POSITIONS angstrom
V -3.598 -3.663 2.827
V -4.469 -7.781 5.983
V -1.709 -5.809 3.062
V -0.839 -1.691 -0.094
Tc -2.853 -8.338 3.687
Tc -2.454 -1.134 2.201
Mo -0.786 -3.148 2.486
Mo 1.117 -5.092 2.584
Mo 1.509 -2.976 0.995
Mo -5.283 -3.167 5.203
Mo -3.379 -5.111 5.301
```

(3)
Entry from the Alexandria database: a relaxed structure of VTc3Mo2 (PBE-GGA). Values from VASP.

Values from the calculation:
Its crystal system is orthorhombic.

Structure (Quantum ESPRESSO input):
```
&SYSTEM
  ibrav = 0, nat = 12, ntyp = 3
/
ATOMIC_SPECIES
V 50.94 V.upf
Tc 98.00 Tc.upf
Mo 95.94 Mo.upf
CELL_PARAMETERS angstrom
4.362 0.000 0.017
2.181 6.541 0.009
-0.025 0.000 6.235
ATOMIC_POSITIONS angstrom
V 2.181 2.196 0.009
V 4.362 4.345 0.017
Tc 4.343 2.210 4.758
Tc 2.175 0.000 1.513
Tc 2.175 4.331 1.503
Tc 4.356 2.210 1.512
Tc 2.162 4.331 4.749
Tc 2.162 0.000 4.739
Mo 0.000 0.000 0.000
Mo -0.012 0.000 3.118
Mo 2.169 2.165 3.126
Mo 4.350 4.377 3.135
```

(4)
Entry from the Alexandria database: a relaxed structure of V2Tc3Mo2 (PBE-GGA). Values from VASP.

Values from the calculation:
Its crystal system is monoclinic.

Structure (Quantum ESPRESSO input):
```
&SYSTEM
  ibrav = 0, nat = 7, ntyp = 3
/
ATOMIC_SPECIES
V 50.94 V.upf
Tc 98.00 Tc.upf
Mo 95.94 Mo.upf
CELL_PARAMETERS angstrom
-0.719 -3.196 -2.786
1.739 1.123 -1.737
3.263 -8.133 5.166
ATOMIC_POSITIONS angstrom
V 3.174 -8.332 2.099
V 1.109 -1.873 -1.457
Tc 0.489 -4.896 -1.148
Tc 0.000 0.000 0.000
Tc 3.794 -5.308 1.790
Mo 1.880 -6.637 0.489
Mo 2.402 -3.568 0.153
```

(5)
Entry from the Alexandria database: a relaxed structure of VTcMo3 (PBE-GGA). Values from VASP.

Values from the calculation:
Its energy above the most stable polymorph in this dataset is 7.367 eV per formula unit. Its crystal system is cubic.

Structure (Quantum ESPRESSO input):
```
&SYSTEM
  ibrav = 0, nat = 5, ntyp = 3
/
ATOMIC_SPECIES
Mo 95.94 Mo.upf
Tc 98.00 Tc.upf
V 50.94 V.upf
CELL_PARAMETERS angstrom
-0.997 -0.969 -4.221
4.225 -1.166 -0.730
-0.949 -4.177 1.183
ATOMIC_POSITIONS angstrom
Mo 2.113 -0.583 -0.365
Mo -0.474 -2.089 0.591
Mo -0.499 -0.484 -2.110
Tc 1.140 -3.156 -1.884
V 0.000 0.000 0.000
```

(6)
Entry from the Alexandria database: a relaxed structure of V2Tc2Mo3 (PBE-GGA). Values from VASP.

Values from the calculation:
Its crystal system is triclinic.

Structure (Quantum ESPRESSO input):
```
&SYSTEM
  ibrav = 0, nat = 7, ntyp = 3
/
ATOMIC_SPECIES
V 50.94 V.upf
Tc 98.00 Tc.upf
Mo 95.94 Mo.upf
CELL_PARAMETERS angstrom
-2.769 1.374 -0.011
-0.483 -4.482 -2.461
-1.172 -2.335 6.393
ATOMIC_POSITIONS angstrom
V -1.040 -2.093 2.055
V -3.384 -3.350 1.867
Tc -1.952 -3.952 -0.231
Tc -2.472 -1.491 4.152
Mo 0.000 0.000 0.000
Mo -2.071 -4.167 4.038
Mo -2.353 -1.276 -0.117
```

(7)
Entry from the Alexandria database: a relaxed structure of VTcMo3 (PBE-GGA). Values from VASP.

Values from the calculation:
Its energy above the most stable polymorph in this dataset is 0.000 eV per formula unit. Its crystal system is orthorhombic.

Structure (Quantum ESPRESSO input):
```
&SYSTEM
  ibrav = 0, nat = 10, ntyp = 3
/
ATOMIC_SPECIES
V 50.94 V.upf
Tc 98.00 Tc.upf
Mo 95.94 Mo.upf
CELL_PARAMETERS angstrom
4.288 0.000 -0.969
-0.035 4.395 -0.157
-0.422 0.286 8.104
ATOMIC_POSITIONS angstrom
V 2.983 3.440 3.229
V 0.847 1.241 3.750
Tc 2.304 3.327 0.224
Tc 1.526 1.353 6.754
Mo 3.664 3.553 6.243
Mo 0.166 1.128 0.736
Mo 1.171 3.495 5.185
Mo 2.659 1.186 1.794
Mo 0.498 3.384 2.206
Mo 3.332 1.297 4.773
```

(8)
Entry from the Alexandria database: a relaxed structure of V4TcMo (PBE-GGA). Values from VASP.

Values from the calculation:
Its energy above the most stable polymorph in this dataset is 0.510 eV per formula unit. Its crystal system is monoclinic.

Structure (Quantum ESPRESSO input):
```
&SYSTEM
  ibrav = 0, nat = 12, ntyp = 3
/
ATOMIC_SPECIES
V 50.94 V.upf
Tc 98.00 Tc.upf
Mo 95.94 Mo.upf
CELL_PARAMETERS angstrom
5.031 -0.391 0.000
-1.973 4.644 0.000
0.000 0.000 7.518
ATOMIC_POSITIONS angstrom
V 2.724 3.804 2.501
V 2.850 0.254 6.260
V 1.848 2.584 5.008
V 3.727 1.473 1.249
V 0.335 0.449 5.017
V 0.209 3.999 1.258
V 1.211 1.669 2.510
V -0.668 2.780 6.269
Tc 0.000 0.000 0.000
Tc 2.516 -0.195 3.759
Mo 1.529 2.126 0.000
Mo -0.986 2.322 3.759
```

(9)
Entry from the Alexandria database: a relaxed structure of V4Tc3Mo (PBE-GGA). Values from VASP.

Values from the calculation:
Its crystal system is orthorhombic.

Structure (Quantum ESPRESSO input):
```
&SYSTEM
  ibrav = 0, nat = 8, ntyp = 3
/
ATOMIC_SPECIES
Mo 95.94 Mo.upf
Tc 98.00 Tc.upf
V 50.94 V.upf
CELL_PARAMETERS angstrom
3.036 0.000 0.000
0.000 4.297 0.000
0.000 0.000 8.600
ATOMIC_POSITIONS angstrom
Mo 1.518 2.148 0.000
Tc 1.518 0.000 2.170
Tc 1.518 2.148 4.300
Tc 1.518 0.000 6.430
V 0.000 0.000 4.300
V 0.000 2.148 6.435
V 0.000 0.000 0.000
V 0.000 2.148 2.165
```

(10)
Entry from the Alexandria database: a relaxed structure of V6TcMo3 (PBE-GGA). Values from VASP.

Values from the calculation:
Its energy above the most stable polymorph in this dataset is 0.000 eV per formula unit. Its crystal system is monoclinic.

Structure (Quantum ESPRESSO input):
```
&SYSTEM
  ibrav = 0, nat = 20, ntyp = 3
/
ATOMIC_SPECIES
V 50.94 V.upf
Tc 98.00 Tc.upf
Mo 95.94 Mo.upf
CELL_PARAMETERS angstrom
-2.297 0.068 -3.641
3.530 -6.161 -2.342
-8.543 -0.861 5.372
ATOMIC_POSITIONS angstrom
V -0.291 -4.047 -3.711
V -7.019 -2.907 3.100
V -3.260 -0.440 -1.771
V -4.050 -6.513 1.160
V -7.526 -0.833 0.913
V 0.216 -6.120 -1.524
V -5.093 -1.940 -0.642
V -2.216 -5.013 0.031
V -2.715 -2.972 -2.162
V -4.595 -3.982 1.551
V -6.397 -5.952 0.105
V -0.913 -1.001 -0.716
Tc -4.555 -4.484 -1.029
Tc -2.755 -2.469 0.419
Mo -2.123 -5.534 -2.583
Mo -5.187 -1.420 1.972
Mo -6.966 -3.418 0.512
Mo -0.343 -3.535 -1.122
Mo -9.393 -2.305 2.063
Mo 2.083 -4.648 -2.674
```

(11)
Entry from the Alexandria database: a relaxed structure of V4TcMo2 (PBE-GGA). Values from VASP.

Values from the calculation:
Its energy above the most stable polymorph in this dataset is 0.000 eV per formula unit. Its crystal system is tetragonal.

Structure (Quantum ESPRESSO input):
```
&SYSTEM
  ibrav = 0, nat = 7, ntyp = 3
/
ATOMIC_SPECIES
V 50.94 V.upf
Tc 98.00 Tc.upf
Mo 95.94 Mo.upf
CELL_PARAMETERS angstrom
-4.279 -2.881 0.783
4.082 -3.110 -0.940
1.013 2.856 4.247
ATOMIC_POSITIONS angstrom
V -2.139 -1.441 0.391
V 0.409 -1.568 2.045
V 0.507 1.428 2.124
V 2.041 -1.555 -0.470
Tc 0.000 0.000 0.000
Mo -0.098 -2.996 -0.079
Mo -1.633 -0.013 2.515
```

(12)
Entry from the Alexandria database: a relaxed structure of VTcMo (PBE-GGA). Values from VASP.

Values from the calculation:
Its energy above the most stable polymorph in this dataset is 0.087 eV per formula unit. Its crystal system is trigonal.

Structure (Quantum ESPRESSO input):
```
&SYSTEM
  ibrav = 0, nat = 3, ntyp = 3
/
ATOMIC_SPECIES
Mo 95.94 Mo.upf
Tc 98.00 Tc.upf
V 50.94 V.upf
CELL_PARAMETERS angstrom
2.715 0.000 0.000
0.000 4.316 0.000
0.000 -2.158 3.738
ATOMIC_POSITIONS angstrom
Mo 2.712 0.000 0.000
Tc 0.911 0.000 2.492
V 1.807 2.158 1.246
```

We obtain formation energy values of 0.2, 2.4, -0.4, -0.7, 7.0, -1.0, -0.3, -0.7, -2.5, -1.7, 1.4, -0.5 eV per formula unit for the records listed above, in that order.